No. 1
## PrNdSc (PBE)

Data for a relaxed structure of PrNdSc.

a = 3.5686 Å, b = 3.5686 Å, c = 8.6435 Å
α = 90.00°, β = 90.00°, γ = 120.00°
With the nearest neighbours (Å) after each atom.
Fractional coordinates of all 3 atoms:
Pr 0.0000 0.0000 0.0000  3 Sc 3.45, 6 Pr 3.57, 3 Nd 3.75
Nd 0.3333 0.6667 0.6373  3 Sc 3.43, 6 Nd 3.57, 3 Pr 3.75
Sc 0.6667 0.3333 0.3198  3 Nd 3.43, 3 Pr 3.45, 6 Sc 3.57

Summary:
Energy above the lowest structure with this stoichiometry in eV/atom: 0.0034
Formation enthalpy at 0 K in kJ per mole of atoms: 6
SG: P3m1

No. 2
## Sc2MoAu (PBE)

Data for a relaxed structure of Sc2MoAu.

a = 3.6350 Å, b = 3.6350 Å, c = 5.8792 Å
α = 90.00°, β = 90.00°, γ = 90.00°
With the nearest neighbours (Å) after each atom.
Fractional coordinates of all 4 atoms:
Sc 0.0000 0.0000 0.0000  4 Mo 2.79, 2 Au 2.80-3.08
Sc 0.5000 0.5000 0.3161  4 Au 2.85, 2 Mo 2.94, 4 Sc 3.17
Mo 0.5000 0.5000 0.8156  6 Sc 2.79-2.94, 4 Au 3.09
Au 0.0000 0.0000 0.5242  6 Sc 2.80-3.08, 4 Mo 3.09

Summary:
Energy above the lowest structure with this stoichiometry in eV/atom: 0.1898
Formation enthalpy at 0 K in kJ per mole of atoms: -5
SG: P4mm

No. 3
## LiTeMo4 (PBE)

Data for a relaxed structure of LiTeMo4.

a = 5.3180 Å, b = 5.3180 Å, c = 5.3180 Å
α = 60.00°, β = 60.00°, γ = 60.00°
With the nearest neighbours (Å) after each atom.
Fractional coordinates of all 6 atoms:
Li 0.0000 0.0000 0.0000  12 Mo 3.11, 4 Te 3.26
Te 0.2500 0.2500 0.2500  12 Mo 3.12, 4 Li 3.26
Mo 0.1207 0.6264 0.6264  6 Mo 2.63-2.69
Mo 0.6264 0.1207 0.6264  6 Mo 2.63-2.69
Mo 0.6264 0.6264 0.1207  6 Mo 2.63-2.69
Mo 0.6264 0.6264 0.6264  6 Mo 2.63-2.69

Summary:
Raw total energy in Ry per atom: -0.552
SG: F-43m

No. 4
## PrHoSn2 (PBE)

Data for a relaxed structure of PrHoSn2.

a = 4.9242 Å, b = 4.9242 Å, c = 4.5469 Å
α = 90.00°, β = 90.00°, γ = 90.00°
With the nearest neighbours (Å) after each atom.
Fractional coordinates of all 4 atoms:
Pr 0.0000 0.0000 0.0000  8 Sn 3.35, 4 Ho 3.48
Ho 0.5000 0.5000 0.0000  8 Sn 3.35, 4 Pr 3.48
Sn 0.0000 0.5000 0.5000  4 Pr 3.35, 4 Ho 3.35, 4 Sn 3.48
Sn 0.5000 0.0000 0.5000  4 Pr 3.35, 4 Ho 3.35, 4 Sn 3.48

Summary:
Formation enthalpy at 0 K in kJ per mole of atoms: -61
SG: P4/mmm

No. 5
## PrNdAg6 (PBE)

Data for a relaxed structure of PrNdAg6.

a = 4.9019 Å, b = 6.4636 Å, c = 6.4636 Å
α = 62.39°, β = 90.00°, γ = 90.00°
With the nearest neighbours (Å) after each atom.
Fractional coordinates of all 8 atoms:
Pr 0.0000 0.0000 0.0000  12 Ag 3.20-3.35
Nd 0.5000 0.6851 0.6851  12 Ag 3.19-3.35
Ag 0.0000 0.0466 0.4814  6 Ag 2.91-3.00, 2 Nd 3.22, 1 Pr 3.22
Ag 0.0000 0.4814 0.0466  6 Ag 2.91-3.00, 2 Nd 3.22, 1 Pr 3.22
Ag 0.0000 0.4998 0.4998  6 Ag 2.98-2.99, 2 Nd 3.19
Ag 0.5000 0.1866 0.1866  6 Ag 2.96-2.98, 2 Pr 3.20
Ag 0.5000 0.2044 0.6368  6 Ag 2.90-3.00, 2 Pr 3.22, 1 Nd 3.22
Ag 0.5000 0.6368 0.2044  6 Ag 2.90-3.00, 2 Pr 3.22, 1 Nd 3.22

Summary:
Energy above the lowest structure with this stoichiometry in eV/atom: 0.0427
Formation enthalpy at 0 K in kJ per mole of atoms: -17
SG: Amm2

No. 6
## NiPd3Pt6 (PBE)

Data for a relaxed structure of NiPd3Pt6.

a = 5.5729 Å, b = 5.5729 Å, c = 8.1701 Å
α = 121.55°, β = 121.55°, γ = 55.54°
With the nearest neighbours (Å) after each atom.
Fractional coordinates of all 10 atoms:
Ni 0.0000 0.0000 0.0000  6 Pt 2.49-2.66
Pd 0.3353 0.3353 0.8043  7 Pt 2.69-2.96, 1 Pd 2.91, 2 Ni 2.98
Pd 0.5000 0.5000 0.5000  6 Pt 2.61-2.63
Pd 0.6647 0.6647 0.1957  7 Pt 2.69-2.96, 1 Pd 2.91, 2 Ni 2.98
Pt 0.1493 0.6492 0.1689  1 Ni 2.49, 4 Pt 2.58-2.68, 2 Pd 2.61-2.77
Pt 0.1935 0.1935 0.4036  2 Pd 2.63-2.69, 1 Ni 2.66, 4 Pt 2.68-2.90
Pt 0.3508 0.8507 0.8311  1 Ni 2.49, 4 Pt 2.58-2.68, 2 Pd 2.61-2.77
Pt 0.6492 0.1493 0.1689  1 Ni 2.49, 4 Pt 2.58-2.68, 2 Pd 2.61-2.77
Pt 0.8065 0.8065 0.5964  2 Pd 2.63-2.69, 1 Ni 2.66, 4 Pt 2.68-2.90
Pt 0.8507 0.3508 0.8311  1 Ni 2.49, 4 Pt 2.58-2.68, 2 Pd 2.61-2.77

Summary:
Formation enthalpy at 0 K in kJ per mole of atoms: 23
SG: C2/m

No. 7
## GaCo2As2 (PBE)

Data for a relaxed structure of GaCo2As2.

a = 6.1103 Å, b = 6.1103 Å, c = 6.1103 Å
α = 143.88°, β = 143.88°, γ = 52.00°
With the nearest neighbours (Å) after each atom.
Fractional coordinates of all 5 atoms:
Ga 0.0000 0.0000 0.0000  8 Co 2.95
Co 0.3867 0.3867 0.0000  4 As 2.42, 1 Co 2.49
Co 0.6133 0.6133 0.0000  4 As 2.42, 1 Co 2.49
As 0.2500 0.7500 0.5000  4 Co 2.42, 4 As 2.68
As 0.7500 0.2500 0.5000  4 Co 2.42, 4 As 2.68

Summary:
Energy above the lowest structure with this stoichiometry in eV/atom: 0.1455
Formation enthalpy at 0 K in kJ per mole of atoms: 19
SG: I4/mmm

No. 8
## Na2Tm2SnO6 (PBE)

Data for a relaxed structure of Na2Tm2SnO6.

a = 5.7466 Å, b = 5.7466 Å, c = 5.9130 Å
α = 98.44°, β = 98.44°, γ = 119.90°
With the nearest neighbours (Å) after each atom.
Fractional coordinates of all 11 atoms:
Na 0.1603 0.8397 0.0000  6 O 2.46-2.69
Na 0.8397 0.1603 0.0000  6 O 2.46-2.69
Tm 0.3352 0.6648 0.5000  6 O 2.22-2.27
Tm 0.6648 0.3352 0.5000  6 O 2.22-2.27
Sn 0.0000 0.0000 0.5000  6 O 2.08-2.16
O 0.0509 0.3782 0.6962  1 Sn 2.16, 2 Tm 2.22-2.27
O 0.2469 0.2469 0.3031  1 Sn 2.08, 2 Tm 2.27
O 0.3782 0.0509 0.6962  1 Sn 2.16, 2 Tm 2.22-2.27
O 0.6218 0.9491 0.3038  1 Sn 2.16, 2 Tm 2.22-2.27
O 0.7531 0.7531 0.6969  1 Sn 2.08, 2 Tm 2.27
O 0.9491 0.6218 0.3038  1 Sn 2.16, 2 Tm 2.22-2.27

Summary:
Raw total energy in Ry per atom: -0.487
SG: C2/m

No. 9
## InReHg2Se (PBE)

Data for a relaxed structure of InReHg2Se.

a = 5.2896 Å, b = 5.2896 Å, c = 5.7922 Å
α = 90.00°, β = 90.00°, γ = 90.00°
With the nearest neighbours (Å) after each atom.
Fractional coordinates of all 5 atoms:
In 0.0000 0.0000 0.0000  2 Se 2.90
Re 0.5000 0.5000 0.0000  4 In 3.74, 8 Hg 3.92
Hg 0.0000 0.5000 0.5000  2 Se 2.64
Hg 0.5000 0.0000 0.5000  2 Se 2.64
Se 0.0000 0.0000 0.5000  4 Hg 2.64, 2 In 2.90

Summary:
Raw total energy in Ry per atom: -0.176
SG: P4/mmm

No. 10
## Y3MgAu4 (PBE)

Data for a relaxed structure of Y3MgAu4.

a = 8.7278 Å, b = 8.7278 Å, c = 8.7278 Å
α = 33.35°, β = 33.35°, γ = 33.35°
With the nearest neighbours (Å) after each atom.
Fractional coordinates of all 8 atoms:
Y 0.0000 0.0000 0.0000  8 Au 3.04-3.05
Y 0.2450 0.2450 0.2450  8 Au 3.01-3.15
Y 0.7550 0.7550 0.7550  8 Au 3.01-3.15
Mg 0.5000 0.5000 0.5000  8 Au 3.09-3.15
Au 0.1230 0.1230 0.1230  5 Y 3.01-3.04, 3 Mg 3.09
Au 0.3723 0.3723 0.3723  7 Y 3.05-3.15, 1 Mg 3.15
Au 0.6277 0.6277 0.6277  7 Y 3.05-3.15, 1 Mg 3.15
Au 0.8770 0.8770 0.8770  5 Y 3.01-3.04, 3 Mg 3.09

Summary:
Formation enthalpy at 0 K in kJ per mole of atoms: -79
SG: R-3m

No. 11
## KSrHgO2 (PBE)

Data for a relaxed structure of KSrHgO2.

a = 7.3146 Å, b = 6.5578 Å, c = 7.1815 Å
α = 90.00°, β = 109.99°, γ = 90.00°
With the nearest neighbours (Å) after each atom.
Fractional coordinates of all 10 atoms:
K 0.0000 0.1978 0.2500  2 O 2.57
K 0.0000 0.8022 0.7500  2 O 2.57
Sr 0.5000 0.4922 0.7500  4 O 2.45
Sr 0.5000 0.5078 0.2500  4 O 2.45
Hg 0.5000 0.0000 0.0000  2 O 2.20
Hg 0.5000 0.0000 0.5000  2 O 2.20
O 0.3544 0.2982 0.4440  1 Hg 2.20, 2 Sr 2.45
O 0.3544 0.7018 0.9440  1 Hg 2.20, 2 Sr 2.45
O 0.6456 0.2982 0.0560  1 Hg 2.20, 2 Sr 2.45
O 0.6456 0.7018 0.5560  1 Hg 2.20, 2 Sr 2.45

Summary:
Raw total energy in Ry per atom: -0.286
SG: P2/c

No. 12
## Ac8In2Ge (PBE)

Data for a relaxed structure of Ac8In2Ge.

a = 10.8108 Å, b = 10.8108 Å, c = 7.4848 Å
α = 102.82°, β = 102.82°, γ = 30.05°
With the nearest neighbours (Å) after each atom.
Fractional coordinates of all 11 atoms:
Ac 0.0192 0.0192 0.2779  2 Ge 3.33, 1 In 3.49, 1 Ac 3.60
Ac 0.2128 0.2128 0.8106  3 In 3.46-3.63, 2 Ac 3.77
Ac 0.3474 0.3474 0.5216  1 Ge 3.23, 3 In 3.43-3.56
Ac 0.4092 0.4092 0.0479  1 Ge 3.48, 3 Ac 3.78-3.85, 2 In 3.81
Ac 0.5908 0.5908 0.9521  1 Ge 3.48, 3 Ac 3.78-3.85, 2 In 3.81
Ac 0.6526 0.6526 0.4784  1 Ge 3.23, 3 In 3.43-3.56
Ac 0.7872 0.7872 0.1894  3 In 3.46-3.63, 2 Ac 3.77
Ac 0.9808 0.9808 0.7221  2 Ge 3.33, 1 In 3.49, 1 Ac 3.60
In 0.1837 0.1837 0.2476  9 Ac 3.43-3.81
In 0.8163 0.8163 0.7524  9 Ac 3.43-3.81
Ge 0.5000 0.5000 0.5000  8 Ac 3.23-3.48

Summary:
Formation enthalpy at 0 K in kJ per mole of atoms: -24
SG: C2/m

No. 13
## Pm4Ni3Pb (PBE)

Data for a relaxed structure of Pm4Ni3Pb.

a = 4.0972 Å, b = 4.4189 Å, c = 10.6301 Å
α = 90.00°, β = 90.00°, γ = 90.00°
With the nearest neighbours (Å) after each atom.
Fractional coordinates of all 8 atoms:
Pm 0.0000 0.0000 0.0000  6 Ni 2.84-3.08
Pm 0.0000 0.5000 0.2567  7 Ni 2.86-3.11
Pm 0.5000 0.0000 0.4568  5 Ni 2.89-3.10, 2 Pb 3.22
Pm 0.5000 0.5000 0.7772  3 Ni 3.03-3.37, 4 Pb 3.15
Ni 0.0000 0.5000 0.5260  2 Pb 2.81, 5 Pm 2.86-3.10
Ni 0.5000 0.0000 0.1853  2 Ni 2.57, 2 Pm 2.84
Ni 0.5000 0.5000 0.0619  2 Ni 2.57
Pb 0.0000 0.0000 0.6901  2 Ni 2.81, 4 Pm 3.15

Summary:
Formation enthalpy at 0 K in kJ per mole of atoms: -31
SG: Pmm2

no.,calculated volume (Å³ per cell)
1,95.33
2,77.68
3,106.35
4,110.25
5,181.48
6,168.72
7,78.81
8,161.84
9,162.06
10,178.96
11,323.73
12,426.33
13,192.46